Entry 1:
Computed, not measured: Pr3Nd6Dy2Er after structural relaxation at the GGA-PBE level of DFT.

Calculated values
- Calculated formation energy: 0.0164 eV per atom
- Space group: No. 12
- Total energy: -0.3462 Ry/atom
- DOS(E_F): 1.414 states/eV per atom
- V: 413.4 Å³/cell

Cell lengths 6.339, 6.339, 12.071 Å; angles 95.02, 95.02, 120.02 degrees
Element x y z (fractional)
Pr: 0.833 0.167 0.500
Pr: 0.167 0.833 0.500
Pr: 0.500 0.500 0.500
Nd: 0.749 0.749 0.245
Nd: 0.585 0.918 0.755
Nd: 0.918 0.585 0.755
Nd: 0.415 0.082 0.245
Nd: 0.082 0.415 0.245
Nd: 0.251 0.251 0.755
Dy: 0.667 0.333 0.000
Dy: 0.333 0.667 0.000
Er: 0.000 0.000 0.000

=====

Entry 2:
Computed, not measured: Nd2Dy6Er3Pu after structural relaxation at the GGA-PBE level of DFT.

Calculated values
- Calculated formation energy: 0.0500 eV per atom
- Space group: No. 12
- Total energy: -0.3955 Ry/atom
- DOS(E_F): 2.128 states/eV per atom
- V: 377.4 Å³/cell

Cell lengths 6.147, 6.147, 11.721 Å; angles 95.03, 95.03, 120.04 degrees
Last column: magnetic moment on the atom in μB.
Element x y z (fractional)
Dy: 0.245 0.245 0.748  0.03
Dy: 0.587 0.916 0.748  0.03
Dy: 0.755 0.755 0.252  0.03
Dy: 0.084 0.413 0.252  0.03
Dy: 0.413 0.084 0.252  0.03
Dy: 0.916 0.587 0.748  0.03
Er: 0.167 0.833 0.500  -0.04
Er: 0.500 0.500 0.500  -0.04
Er: 0.833 0.167 0.500  -0.04
Pu: 0.000 0.000 0.000  5.57
Nd: 0.333 0.667 0.000  0.04
Nd: 0.667 0.333 0.000  0.04

=====

Entry 3:
Computed, not measured: Nd3Dy2Er6Pu after structural relaxation at the GGA-PBE level of DFT.

Calculated values
- Calculated formation energy: 0.0422 eV per atom
- Space group: No. 12
- Total energy: -0.3963 Ry/atom
- DOS(E_F): 1.867 states/eV per atom
- V: 376.3 Å³/cell

Cell lengths 6.151, 6.151, 11.665 Å; angles 95.05, 95.05, 120.00 degrees
Last column: magnetic moment on the atom in μB.
Element x y z (fractional)
Er: 0.082 0.410 0.245  -0.06
Er: 0.753 0.753 0.245  -0.06
Er: 0.918 0.590 0.755  -0.06
Er: 0.410 0.082 0.245  -0.06
Er: 0.247 0.247 0.755  -0.06
Er: 0.590 0.918 0.755  -0.06
Dy: 0.667 0.333 0.000  -0.08
Dy: 0.333 0.667 0.000  -0.08
Nd: 0.167 0.833 0.500  0.02
Nd: 0.500 0.500 0.500  0.02
Nd: 0.833 0.167 0.500  0.02
Pu: 0.000 0.000 0.000  -5.57

=====

Entry 4:
Computed, not measured: NdDy4ErS8 after structural relaxation at the GGA-PBE level of DFT.

Calculated values
- Space group: No. 160
- Total energy: -0.4606 Ry/atom
- DOS(E_F): 0.608 states/eV per atom
- V: 373.4 Å³/cell

Cell lengths 8.090, 8.090, 8.075 Å; angles 59.94, 59.94, 60.00 degrees
Element x y z (fractional)
Dy: 0.625 0.625 0.126
Dy: 0.999 0.999 0.499
Dy: 0.999 0.502 0.499
Dy: 0.502 0.999 0.499
S: 0.239 0.239 0.282
S: 0.237 0.237 0.741
S: 0.237 0.784 0.741
S: 0.228 0.759 0.255
S: 0.759 0.228 0.255
S: 0.784 0.237 0.741
S: 0.759 0.759 0.255
S: 0.757 0.757 0.730
Nd: 0.375 0.375 0.874
Er: 0.999 0.999 0.002

=====

Entry 5:
Computed, not measured: Nd2DyErS6 after structural relaxation at the GGA-PBE level of DFT.

Calculated values
- Space group: No. 146
- Total energy: -0.4692 Ry/atom
- DOS(E_F): 0.000 states/eV per atom
- V: 266.0 Å³/cell

Cell lengths 7.044, 7.044, 7.406 Å; angles 61.60, 61.60, 60.00 degrees
Element x y z (fractional)
Nd: 0.523 0.523 0.432
Nd: 0.022 0.022 0.934
S: 0.435 0.699 0.759
S: 0.699 0.107 0.759
S: 0.200 0.938 0.258
S: 0.938 0.604 0.258
S: 0.604 0.200 0.258
S: 0.107 0.435 0.759
Dy: 0.816 0.816 0.551
Er: 0.317 0.317 0.049

=====

Entry 6:
Computed, not measured: Nd4DyEr3S8 after structural relaxation at the GGA-PBE level of DFT.

Calculated values
- Space group: No. 166
- Total energy: -0.4703 Ry/atom
- DOS(E_F): 0.426 states/eV per atom
- V: 355.2 Å³/cell

Cell lengths 7.866, 8.035, 7.867 Å; angles 119.31, 120.00, 90.00 degrees
Element x y z (fractional)
S: 0.258 0.269 0.014
S: 0.755 0.269 0.511
S: 0.742 0.731 0.986
S: 0.743 0.729 0.486
S: 0.755 0.269 0.014
S: 0.245 0.731 0.986
S: 0.245 0.731 0.489
S: 0.257 0.271 0.514
Nd: 0.500 0.000 0.500
Nd: 0.000 0.000 0.000
Nd: 0.000 0.000 0.500
Nd: 0.500 0.000 0.000
Dy: 0.000 0.500 0.000
Er: 0.500 0.500 0.000
Er: 0.000 0.500 0.500
Er: 0.500 0.500 0.500